Material: Al2Ga7Ag2
Method: DFT, GGA-PBE
State: relaxed

space-group type = Cmmm (65)
Fermi-level density of states = 4.1 states/eV/cell
total energy = -33.087 eV for the cell shown

Structure (extended XYZ):
```
11
Lattice="-6.0016 -0.1257 1.4326 -0.6903 -4.8874 -3.3250 1.7117 -3.4994 4.7866" Properties=species:S:1:pos:R:3 pbc="T T T"
Al -3.8101 -1.0849 2.3852
Al -1.1700 -7.4277 0.5091
Ga 0.6703 -3.0638 1.5000
Ga -3.5060 -3.6366 -1.7146
Ga -5.6504 -5.4487 1.3942
Ga -1.4741 -4.8759 4.6089
Ga 0.0000 0.0000 0.0000
Ga -2.6361 -5.2884 0.7447
Ga -2.3440 -3.2241 2.1495
Ag -3.8914 -5.4405 3.4787
Ag -1.0887 -3.0721 -0.5845
```